1.
Here is NdInHg3O4 after structural relaxation from OQMD via LeMat-Bulk. Energies are from PBE.

a = 5.952 Å, b = 5.952 Å, c = 5.952 Å
α = 90.00°, β = 90.00°, γ = 90.00°
Space group P-43m (No. 215)
Asymmetric unit:
1 Nd 0.000 0.000 0.000 (multiplicity 1)
2 In 0.500 0.500 0.500 (multiplicity 1)
3 Hg 0.000 0.000 0.500 (multiplicity 3)
4 O 0.218 0.218 0.782 (multiplicity 4)

Results
* total DFT energy (no corrections): -34.21 eV/cell

2.
Here is SiTcNO after structural relaxation from OQMD via LeMat-Bulk. Energies are from PBE.

a = 3.020 Å, b = 5.443 Å, c = 4.990 Å
α = 90.00°, β = 90.00°, γ = 90.00°
Space group Pmc2_1 (No. 26)
Asymmetric unit:
1 Si 0.000 0.168 0.000 (multiplicity 2)
2 Tc 0.500 0.404 0.451 (multiplicity 2)
3 N 0.000 0.137 0.347 (multiplicity 2)
4 O 0.500 0.227 0.837 (multiplicity 2)

Results
* total DFT energy (no corrections): -62.94 eV/cell

3.
Here is AgGeAsO after structural relaxation from OQMD via LeMat-Bulk. Energies are from PBE.

a = 3.752 Å, b = 3.752 Å, c = 9.621 Å
α = 90.00°, β = 90.00°, γ = 90.00°
Space group P4/nmm (No. 129, origin choice 2)
Asymmetric unit:
1 Ag 0.250 0.750 0.000 (multiplicity 2)
2 Ge 0.250 0.250 0.394 (multiplicity 2)
3 As 0.250 0.250 0.798 (multiplicity 2)
4 O 0.250 0.750 0.500 (multiplicity 2)

Results
* total DFT energy (no corrections): -35.75 eV/cell

4.
Here is Lu2SbN after structural relaxation from OQMD via LeMat-Bulk. Energies are from PBE.

a = 3.4803 Å, b = 3.4803 Å, c = 14.4709 Å
α = 90.00°, β = 90.00°, γ = 120.00°
Space group P6_3/mmc (No. 194)
Asymmetric unit:
1 Lu 0.3333 0.6667 0.0869 (multiplicity 4)
2 Sb 0.3333 0.6667 0.7500 (multiplicity 2)
3 N 0.0000 0.0000 0.0000 (multiplicity 2)

Results
* total DFT energy (no corrections): -52.67 eV/cell